Below is crystalline Ta2MnSbPb at its relaxed geometry, with properties calculated at the PBE level.

a b c (Å): 4.7935 4.6953 4.7935
angles (deg): 90.00 90.00 90.00
Sites, in units of the cell vectors:
Pb1 0.5000 0.5000 0.5000
Sb1 0.0000 0.5000 0.0000
Mn1 0.0000 0.0000 0.0000
Ta1 0.0000 0.0000 0.5000
Ta2 0.5000 0.0000 0.0000

Values from the calculation:
As for the space-group type: P4/mmm, No. 123. For the formation energy (no corrections), the calculation gives 0.752 eV/atom. As for the volume: 107.89 Å³ per cell.

=====

Below is crystalline BeTePd3 at its relaxed geometry, with properties calculated at the PBE level.

a b c (Å): 4.9184 4.9184 4.9184
angles (deg): 90.00 90.00 90.00
Sites, in units of the cell vectors:
Be1 0.5000 0.5000 0.5000
Te1 0.0000 0.0000 0.0000
Pd1 0.0000 0.5000 0.0000
Pd2 0.0000 0.0000 0.5000
Pd3 0.5000 0.0000 0.0000

Values from the calculation:
As for the space-group type: Pm-3m, No. 221. For the formation energy (no corrections), the calculation gives 0.775 eV/atom. The calculation puts the relative energy among the computed polymorphs at 925 meV per atom. As for the volume: 118.98 Å³ per cell.

=====

Below is crystalline Ca2HfVZn at its relaxed geometry, with properties calculated at the PBE level.

a b c (Å): 5.3601 4.9242 5.3601
angles (deg): 90.00 90.00 90.00
Last column: magnetic moment on the atom in μB.
Sites, in units of the cell vectors:
Zn1 0.0000 0.5000 0.0000  0.09
Hf1 0.5000 0.5000 0.5000  -0.79
Ca1 0.0000 0.0000 0.5000  0.13
Ca2 0.5000 0.0000 0.0000  0.09
V1 0.0000 0.0000 0.0000  2.86

Values from the calculation:
As for the space-group type: P4/mmm, No. 123. As for the volume: 141.47 Å³ per cell. As for the formation energy: 1.115 eV/atom.

=====

Below is crystalline Sr2LiZn2 at its relaxed geometry, with properties calculated at the PBE level.

a b c (Å): 9.1361 9.1361 3.7305
angles (deg): 90.00 90.00 90.00
Sites, in units of the cell vectors:
Sr1 0.3261 0.8261 0.0000
Sr2 0.8261 0.6739 0.0000
Sr3 0.6739 0.1739 0.0000
Sr4 0.1739 0.3261 0.0000
Zn1 0.1126 0.6126 0.5000
Zn2 0.6126 0.8874 0.5000
Zn3 0.8874 0.3874 0.5000
Zn4 0.3874 0.1126 0.5000
Li1 0.0000 0.0000 0.0000
Li2 0.5000 0.5000 0.0000

Values from the calculation:
As for the space-group type: P4/mbm, No. 127. The calculation puts the relative energy among the computed polymorphs at 186 meV per atom. As for the volume: 311.38 Å³ per cell. As for the formation energy: 0.033 eV/atom.

=====

Below is crystalline LiLaY2 at its relaxed geometry, with properties calculated at the PBE level.

a b c (Å): 11.5271 11.5271 11.5271
angles (deg): 17.78 17.78 17.78
Sites, in units of the cell vectors:
La1 0.2500 0.2500 0.2500
Li1 0.7500 0.7500 0.7500
Y1 0.0040 0.0040 0.0040
Y2 0.4960 0.4960 0.4960

Values from the calculation:
As for the space-group type: R-3m, No. 166. The calculation puts the relative energy among the computed polymorphs at 40 meV per atom. As for the volume: 124.64 Å³ per cell. As for the formation energy: 0.110 eV/atom.

=====

Below is crystalline Sr2Zn3Ga5 at its relaxed geometry, with properties calculated at the PBE level.

a b c (Å): 4.3982 4.3982 10.9364
angles (deg): 90.00 90.00 90.00
Sites, in units of the cell vectors:
Sr1 0.5000 0.0000 0.2518
Sr2 0.0000 0.5000 0.7482
Zn1 0.5000 0.0000 0.6282
Zn2 0.0000 0.5000 0.3718
Zn3 0.0000 0.0000 0.5000
Ga1 0.5000 0.5000 0.0000
Ga2 0.0000 0.0000 0.0000
Ga3 0.5000 0.0000 0.8611
Ga4 0.0000 0.5000 0.1389
Ga5 0.5000 0.5000 0.5000

Values from the calculation:
As for the space-group type: P-4m2, No. 115. The calculation puts the relative energy among the computed polymorphs at 8 meV per atom. As for the volume: 211.55 Å³ per cell. As for the formation energy: -0.370 eV/atom.

=====

Below is crystalline CePmPa2N4 at its relaxed geometry, with properties calculated at the PBE level.

a b c (Å): 3.5528 6.1594 6.1230
angles (deg): 109.59 90.00 90.00
Sites, in units of the cell vectors:
Ce1 0.0000 0.0000 0.0000
Pm1 0.5000 0.5000 0.0000
Pa1 0.5000 0.0000 0.5000
Pa2 0.0000 0.5000 0.5000
N1 0.5000 0.2596 0.2782
N2 0.5000 0.7404 0.7218
N3 0.0000 0.2398 0.7194
N4 0.0000 0.7602 0.2806

Values from the calculation:
As for the space-group type: P2/m, No. 10. For the formation energy (no corrections), the calculation gives -1.600 eV/atom. As for the volume: 126.23 Å³ per cell.

=====

Below is crystalline Dy5Ni2Ag at its relaxed geometry, with properties calculated at the PBE level.

a b c (Å): 7.6644 7.6644 8.4667
angles (deg): 116.91 116.91 90.00
Sites, in units of the cell vectors:
Dy1 0.5246 0.7027 0.7273
Dy2 0.7973 0.9754 0.2727
Dy3 0.0000 0.0000 0.0000
Dy4 0.5000 0.5000 0.0000
Dy5 0.2027 0.0246 0.7273
Dy6 0.7027 0.2027 0.7273
Dy7 0.0246 0.5246 0.7273
Dy8 0.2973 0.7973 0.2727
Dy9 0.9754 0.4754 0.2727
Dy10 0.4754 0.2973 0.2727
Ni1 0.1269 0.3731 0.0000
Ni2 0.6269 0.1269 0.0000
Ni3 0.3731 0.8731 0.0000
Ni4 0.8731 0.6269 0.0000
Ag1 0.7500 0.7500 0.5000
Ag2 0.2500 0.2500 0.5000

Values from the calculation:
As for the space-group type: I4/mcm, No. 140. As for the volume: 382.12 Å³ per cell. As for the formation energy: -0.310 eV/atom.

=====

> The highest volume belongs to which entry?

Dy5Ni2Ag

=====

> Number 6 is which compound?

Sr2Zn3Ga5

=====

> Which of these has the lowest volume?

Ta2MnSbPb